Computed, not measured: TlCuSiSeS2 after structural relaxation at the GGA-PBE level of DFT.

Calculated values
Its space group is No. 63. Its energy is -4.135 eV per atom. Its crystal system is orthorhombic.

abc: 7.5255 7.5255 10.0989
angles: 90.00 90.00 154.09
Closest atoms and distances in Å follow each position.
Positions (direct):
Tl (0.2317, 0.7683, 0.7500)  2 Cu 3.15, 2 Se 3.23, 2 S 3.35, 2 Tl 3.37
Tl (0.7683, 0.2317, 0.2500)  2 Cu 3.15, 2 Se 3.23, 2 S 3.35, 2 Tl 3.37
Cu (0.0873, 0.9127, 0.2500)  2 S 2.24
Cu (0.9127, 0.0873, 0.7500)  2 S 2.24
Si (0.5000, 0.5000, 0.0000)  4 S 2.35, 2 Se 2.61
Si (0.5000, 0.5000, 0.5000)  4 S 2.35, 2 Se 2.61
Se (0.4562, 0.5438, 0.2500)  2 Cu 2.56, 2 Si 2.61
Se (0.5438, 0.4562, 0.7500)  2 Cu 2.56, 2 Si 2.61
S (0.1100, 0.8900, 0.0303)  1 Cu 2.24, 2 Si 2.35
S (0.1100, 0.8900, 0.4697)  1 Cu 2.24, 2 Si 2.35
S (0.8900, 0.1100, 0.5303)  1 Cu 2.24, 2 Si 2.35
S (0.8900, 0.1100, 0.9697)  1 Cu 2.24, 2 Si 2.35

***

Computed, not measured: TlCuSiSe2S after structural relaxation at the GGA-PBE level of DFT.

Calculated values
Its space group is No. 63. Its energy is -3.982 eV per atom. Its crystal system is orthorhombic.

abc: 7.3740 7.3740 10.1341
angles: 90.00 90.00 151.92
Closest atoms and distances in Å follow each position.
Positions (direct):
Tl (0.2326, 0.7674, 0.7500)  6 Se 3.23-3.56, 2 S 3.32, 2 Cu 3.41, 2 Tl 3.58
Tl (0.7674, 0.2326, 0.2500)  6 Se 3.23-3.56, 2 S 3.32, 2 Cu 3.41, 2 Tl 3.58
Cu (0.0643, 0.9357, 0.2500)  2 S 2.30, 2 Se 2.40
Cu (0.9357, 0.0643, 0.7500)  2 S 2.30, 2 Se 2.40
Si (0.5000, 0.5000, 0.0000)  4 Se 2.51, 2 S 2.59
Si (0.5000, 0.5000, 0.5000)  4 Se 2.51, 2 S 2.59
Se (0.1210, 0.8790, 0.0273)  1 Cu 2.40, 2 Si 2.51
Se (0.1210, 0.8790, 0.4727)  1 Cu 2.40, 2 Si 2.51
Se (0.8790, 0.1210, 0.5273)  1 Cu 2.40, 2 Si 2.51
Se (0.8790, 0.1210, 0.9727)  1 Cu 2.40, 2 Si 2.51
S (0.4629, 0.5371, 0.2500)  2 Cu 2.30
S (0.5371, 0.4629, 0.7500)  2 Cu 2.30

***

Computed, not measured: ZnCu2SiSe3S after structural relaxation at the GGA-PBE level of DFT.

Calculated values
Its space group is No. 8. Its energy is -4.024 eV per atom. Its crystal system is monoclinic.

abc: 7.7434 7.8020 6.7012
angles: 90.00 124.86 90.00
Closest atoms and distances in Å follow each position.
Positions (direct):
Zn (0.0000, 0.0000, 0.0000)  1 S 2.40, 3 Se 2.49-2.51
Zn (0.5000, 0.5000, 0.0000)  1 S 2.40, 3 Se 2.49-2.51
Cu (0.0163, 0.2635, 0.5189)  1 S 2.28, 3 Se 2.42
Cu (0.0163, 0.7365, 0.5189)  1 S 2.28, 3 Se 2.42
Cu (0.5163, 0.2365, 0.5189)  1 S 2.28, 3 Se 2.42
Cu (0.5163, 0.7635, 0.5189)  1 S 2.28, 3 Se 2.42
Si (0.0149, 0.5000, 0.0001)  1 S 2.19, 3 Se 2.33-2.34
Si (0.5149, 0.0000, 0.0001)  1 S 2.19, 3 Se 2.33-2.34
Se (0.1370, 0.2626, 0.2565)  1 Si 2.33, 2 Cu 2.42, 1 Zn 2.49
Se (0.1370, 0.7374, 0.2565)  1 Si 2.33, 2 Cu 2.42, 1 Zn 2.49
Se (0.1474, 0.0000, 0.7492)  1 Si 2.34, 2 Cu 2.42, 1 Zn 2.51
Se (0.6370, 0.2374, 0.2565)  1 Si 2.33, 2 Cu 2.42, 1 Zn 2.49
Se (0.6370, 0.7626, 0.2565)  1 Si 2.33, 2 Cu 2.42, 1 Zn 2.49
Se (0.6474, 0.5000, 0.7492)  1 Si 2.34, 2 Cu 2.42, 1 Zn 2.51
S (0.1228, 0.5000, 0.7609)  1 Si 2.19, 2 Cu 2.28, 1 Zn 2.40
S (0.6228, 0.0000, 0.7609)  1 Si 2.19, 2 Cu 2.28, 1 Zn 2.40

***

Computed, not measured: ZnCu2SiSe2S2 after structural relaxation at the GGA-PBE level of DFT.

Calculated values
Its space group is No. 42. The polymorph energy (0 for the lowest one) is 0.004 eV per atom. Its crystal system is orthorhombic.

abc: 6.6494 6.6185 5.4162
angles: 66.21 65.61 48.19
Closest atoms and distances in Å follow each position.
Positions (direct):
Zn (0.0000, 0.0000, 0.0000)  2 S 2.41, 2 Se 2.47
Cu (0.2681, 0.2681, 0.2319)  2 S 2.29, 2 Se 2.42
Cu (0.7681, 0.7681, 0.7319)  2 S 2.29, 2 Se 2.42
Si (0.4997, 0.4997, 0.5003)  2 S 2.19, 2 Se 2.31
Se (0.3935, 0.8674, 0.1326)  1 Si 2.31, 2 Cu 2.42, 1 Zn 2.47
Se (0.8674, 0.3935, 0.6065)  1 Si 2.31, 2 Cu 2.42, 1 Zn 2.47
S (0.1486, 0.6128, 0.8514)  1 Si 2.19, 2 Cu 2.29, 1 Zn 2.41
S (0.6128, 0.1486, 0.3872)  1 Si 2.19, 2 Cu 2.29, 1 Zn 2.41

***

Computed, not measured: ZnCu2SiSe2S2 after structural relaxation at the GGA-PBE level of DFT.

Calculated values
Its space group is No. 5. The polymorph energy (0 for the lowest one) is 0.000 eV per atom. Its crystal system is monoclinic.

abc: 12.0829 5.4037 5.4157
angles: 90.00 116.11 90.00
Closest atoms and distances in Å follow each position.
Positions (direct):
Zn (0.0000, 0.0000, 0.0000)  2 S 2.38, 2 Se 2.49
Zn (0.5000, 0.5000, 0.0000)  2 S 2.38, 2 Se 2.49
Cu (0.2501, 0.0107, 0.7199)  2 S 2.28-2.29, 2 Se 2.42-2.43
Cu (0.2499, 0.5107, 0.2801)  2 S 2.28-2.29, 2 Se 2.42-2.43
Cu (0.7499, 0.0107, 0.2801)  2 S 2.28-2.29, 2 Se 2.42-2.43
Cu (0.7501, 0.5107, 0.7199)  2 S 2.28-2.29, 2 Se 2.42-2.43
Si (0.0000, 0.5233, 0.5000)  2 S 2.18, 2 Se 2.32
Si (0.5000, 0.0233, 0.5000)  2 S 2.18, 2 Se 2.32
Se (0.1287, 0.2772, 0.8650)  1 Si 2.32, 2 Cu 2.42-2.43, 1 Zn 2.49
Se (0.3713, 0.7772, 0.1350)  1 Si 2.32, 2 Cu 2.42-2.43, 1 Zn 2.49
Se (0.6287, 0.7772, 0.8650)  1 Si 2.32, 2 Cu 2.42-2.43, 1 Zn 2.49
Se (0.8713, 0.2772, 0.1350)  1 Si 2.32, 2 Cu 2.42-2.43, 1 Zn 2.49
S (0.1205, 0.7476, 0.3869)  1 Si 2.18, 2 Cu 2.28-2.29, 1 Zn 2.38
S (0.3795, 0.2476, 0.6131)  1 Si 2.18, 2 Cu 2.28-2.29, 1 Zn 2.38
S (0.6205, 0.2476, 0.3869)  1 Si 2.18, 2 Cu 2.28-2.29, 1 Zn 2.38
S (0.8795, 0.7476, 0.6131)  1 Si 2.18, 2 Cu 2.28-2.29, 1 Zn 2.38

***

Computed, not measured: Cu3SnSe2S2 after structural relaxation at the GGA-PBE level of DFT.

Calculated values
Its space group is No. 5. The polymorph energy (0 for the lowest one) is 0.000 eV per atom. Its crystal system is monoclinic.

abc: 12.3716 5.5418 5.5521
angles: 90.00 116.60 90.00
Closest atoms and distances in Å follow each position.
Positions (direct):
Cu (0.0000, 0.0000, 0.0000)  2 S 2.29, 2 Se 2.43
Cu (0.2500, 0.0203, 0.7256)  2 S 2.29, 2 Se 2.43
Cu (0.2500, 0.5203, 0.2744)  2 S 2.29, 2 Se 2.43
Cu (0.5000, 0.5000, 0.0000)  2 S 2.29, 2 Se 2.43
Cu (0.7500, 0.0203, 0.2744)  2 S 2.29, 2 Se 2.43
Cu (0.7500, 0.5203, 0.7256)  2 S 2.29, 2 Se 2.43
Sn (0.0000, 0.5326, 0.5000)  2 S 2.49, 2 Se 2.60
Sn (0.5000, 0.0326, 0.5000)  2 S 2.49, 2 Se 2.60
Se (0.1344, 0.2537, 0.8995)  3 Cu 2.43, 1 Sn 2.60
Se (0.3656, 0.7537, 0.1005)  3 Cu 2.43, 1 Sn 2.60
Se (0.6344, 0.7537, 0.8995)  3 Cu 2.43, 1 Sn 2.60
Se (0.8656, 0.2537, 0.1005)  3 Cu 2.43, 1 Sn 2.60
S (0.1313, 0.7839, 0.3666)  3 Cu 2.29, 1 Sn 2.49
S (0.3687, 0.2839, 0.6334)  3 Cu 2.29, 1 Sn 2.49
S (0.6313, 0.2839, 0.3666)  3 Cu 2.29, 1 Sn 2.49
S (0.8687, 0.7839, 0.6334)  3 Cu 2.29, 1 Sn 2.49

***

Computed, not measured: Cu3SnSe3S after structural relaxation at the GGA-PBE level of DFT.

Calculated values
Its space group is No. 8. Its energy is -4.015 eV per atom. Its crystal system is monoclinic.

abc: 7.9176 7.9534 6.8611
angles: 90.00 125.18 90.00
Closest atoms and distances in Å follow each position.
Positions (direct):
Cu (0.0000, 0.0000, 0.0000)  1 S 2.28, 3 Se 2.42
Cu (0.4793, 0.2378, 0.4789)  1 S 2.28, 3 Se 2.41-2.43
Cu (0.4793, 0.7622, 0.4789)  1 S 2.28, 3 Se 2.41-2.43
Cu (0.5000, 0.5000, 0.0000)  1 S 2.28, 3 Se 2.42
Cu (0.9793, 0.2622, 0.4789)  1 S 2.28, 3 Se 2.41-2.43
Cu (0.9793, 0.7378, 0.4789)  1 S 2.28, 3 Se 2.41-2.43
Sn (0.4808, 0.0000, 0.9945)  1 S 2.50, 3 Se 2.61
Sn (0.9808, 0.5000, 0.9945)  1 S 2.50, 3 Se 2.61
Se (0.3526, 0.2666, 0.7240)  3 Cu 2.41-2.42, 1 Sn 2.61
Se (0.3526, 0.7334, 0.7240)  3 Cu 2.41-2.42, 1 Sn 2.61
Se (0.3844, 0.5000, 0.2589)  3 Cu 2.42-2.43, 1 Sn 2.61
Se (0.8526, 0.2334, 0.7240)  3 Cu 2.41-2.42, 1 Sn 2.61
Se (0.8526, 0.7666, 0.7240)  3 Cu 2.41-2.42, 1 Sn 2.61
Se (0.8844, 0.0000, 0.2589)  3 Cu 2.42-2.43, 1 Sn 2.61
S (0.3523, 0.0000, 0.2524)  3 Cu 2.28, 1 Sn 2.50
S (0.8523, 0.5000, 0.2524)  3 Cu 2.28, 1 Sn 2.50

***

Computed, not measured: Cu3SnSe2S2 after structural relaxation at the GGA-PBE level of DFT.

Calculated values
Its space group is No. 42. The polymorph energy (0 for the lowest one) is 0.002 eV per atom. Its crystal system is orthorhombic.

abc: 6.8157 6.7893 5.5300
angles: 66.27 65.77 47.97
Closest atoms and distances in Å follow each position.
Positions (direct):
Cu (0.0000, 0.0000, 0.0000)  2 S 2.29, 2 Se 2.43
Cu (0.2722, 0.2722, 0.2278)  2 S 2.30, 2 Se 2.42
Cu (0.7722, 0.7722, 0.7278)  2 S 2.30, 2 Se 2.42
Sn (0.5071, 0.5071, 0.4929)  2 S 2.49, 2 Se 2.60
Se (0.3755, 0.9116, 0.0884)  3 Cu 2.42-2.43, 1 Sn 2.60
Se (0.9116, 0.3755, 0.6245)  3 Cu 2.42-2.43, 1 Sn 2.60
S (0.1159, 0.6408, 0.8841)  3 Cu 2.29-2.30, 1 Sn 2.49
S (0.6408, 0.1159, 0.3592)  3 Cu 2.29-2.30, 1 Sn 2.49